RbBi3I | PBE-GGA | relaxed

a b c (Å): 6.120 6.120 6.120
angles (deg): 90.00 90.00 90.00
Positions (direct):
I  0.000  0.000  0.000
Bi  0.000  0.500  0.000
Bi  0.000  0.000  0.500
Bi  0.500  0.000  0.000
Rb  0.500  0.500  0.500

## Properties
The calculation puts the total DFT energy (no corrections) at -2.341 eV per atom. As for the density: 6.08 g/cm³. The space group is Pm-3m. The value obtained for the magnetization is 0.000 μB per atom.